--- a ---
# ZrVHg2 (PBE, relaxed)
data_ZrVHg2
_cell_length_a 7.689
_cell_length_b 7.689
_cell_length_c 5.767
_cell_angle_alpha 90.00
_cell_angle_beta 90.00
_cell_angle_gamma 90.00
_space_group_name_H-M_alt 'I -4 2 d'
_space_group_IT_number 122
_space_group_name_Hall 'I -4 2bw'
loop_
_atom_site_label
_atom_site_type_symbol
_atom_site_fract_x
_atom_site_fract_y
_atom_site_fract_z
Zr1 Zr 0.000 0.000 0.000
V1 V 0.000 0.000 0.500
Hg1 Hg 0.223 0.250 0.625
# Spin magnetization: 2.979 μB/cell


--- b ---
# ZrVHg2 (PBE, relaxed)
data_ZrVHg2
_cell_length_a 6.876
_cell_length_b 6.876
_cell_length_c 6.876
_cell_angle_alpha 90.00
_cell_angle_beta 90.00
_cell_angle_gamma 90.00
_space_group_name_H-M_alt 'F m -3 m'
_space_group_IT_number 225
_space_group_name_Hall '-F 4 2 3'
loop_
_atom_site_label
_atom_site_type_symbol
_atom_site_fract_x
_atom_site_fract_y
_atom_site_fract_z
Zr1 Zr 0.000 0.000 0.000
V1 V 0.000 0.000 0.500
Hg1 Hg 0.250 0.250 0.250
# Spin magnetization: 13.745 μB/cell


Which structure is most stable? b, by 314 meV per atom over the runner-up.


--- a ---
# HgW2 (PBE, relaxed)
data_HgW2
_cell_length_a 2.951
_cell_length_b 2.951
_cell_length_c 25.804
_cell_angle_alpha 90.00
_cell_angle_beta 90.00
_cell_angle_gamma 90.00
_space_group_name_H-M_alt 'I 41/a m d'
_space_group_IT_number 141
loop_
_space_group_symop_operation_xyz
'x,y,z'
'-x,-y,-z'
'-y+1/4,x+3/4,z+1/4'
'y+1/4,-x+3/4,-z+1/4'
'-x+1/2,-y,z+1/2'
'x+1/2,y,-z+1/2'
'y+1/4,-x+1/4,z+3/4'
'-y+1/4,x+1/4,-z+3/4'
'x,-y,-z'
'-x,y,z'
'-y+1/4,-x+1/4,-z+3/4'
'y+1/4,x+1/4,z+3/4'
'-x+1/2,y,-z+1/2'
'x+1/2,-y,z+1/2'
'y+1/4,x+3/4,-z+1/4'
'-y+1/4,-x+3/4,z+1/4'
'x+1/2,y+1/2,z+1/2'
'-x+1/2,-y+1/2,-z+1/2'
'-y+3/4,x+1/4,z+3/4'
'y+3/4,-x+1/4,-z+3/4'
'-x,-y+1/2,z'
'x,y+1/2,-z'
'y+3/4,-x+3/4,z+1/4'
'-y+3/4,x+3/4,-z+1/4'
'x+1/2,-y+1/2,-z+1/2'
'-x+1/2,y+1/2,z+1/2'
'-y+3/4,-x+3/4,-z+1/4'
'y+3/4,x+3/4,z+1/4'
'-x,y+1/2,-z'
'x,-y+1/2,z'
'y+3/4,x+1/4,-z+3/4'
'-y+3/4,-x+1/4,z+3/4'
loop_
_atom_site_label
_atom_site_type_symbol
_atom_site_fract_x
_atom_site_fract_y
_atom_site_fract_z
Hg1 Hg 0.000 0.250 0.375
W1 W 0.000 0.250 0.789
# Spin magnetization: 0.000 μB/cell


--- b ---
# HgW2 (PBE, relaxed)
data_HgW2
_cell_length_a 5.3914
_cell_length_b 5.3914
_cell_length_c 8.8493
_cell_angle_alpha 90.00
_cell_angle_beta 90.00
_cell_angle_gamma 120.00
_space_group_name_H-M_alt 'P 63/m m c'
_space_group_IT_number 194
_space_group_name_Hall '-P 6c 2c'
loop_
_atom_site_label
_atom_site_type_symbol
_atom_site_fract_x
_atom_site_fract_y
_atom_site_fract_z
Hg1 Hg 0.3333 0.6667 0.0646
W1 W 0.0000 0.0000 0.0000
W2 W 0.1668 0.3336 0.7500
# Spin magnetization: 0.000 μB/cell


--- c ---
# HgW2 (PBE, relaxed)
data_HgW2
_cell_length_a 5.0847
_cell_length_b 5.0847
_cell_length_c 4.6466
_cell_angle_alpha 90.00
_cell_angle_beta 90.00
_cell_angle_gamma 120.00
_space_group_name_H-M_alt 'P -6 2 m'
_space_group_IT_number 189
_space_group_name_Hall 'P -6 -2'
loop_
_atom_site_label
_atom_site_type_symbol
_atom_site_fract_x
_atom_site_fract_y
_atom_site_fract_z
Hg1 Hg 0.3333 0.6667 0.0000
W1 W 0.0000 0.0000 0.0000
W2 W 0.0000 0.3286 0.5000
# Spin magnetization: 0.000 μB/cell


Which structure is most stable? c, by 46 meV per atom over the runner-up.